# 1
{
  "formula": "La4TbPr3S8",
  "functional": "GGA-PBE",
  "state": "relaxed",
  "cell": [[4.1125, 2.3744, 6.7025], [-4.1125, 2.3744, 6.7025], [0.0000, -4.7487, 6.7025]],
  "species": ["La", "La", "La", "La", "Tb", "Pr", "Pr", "Pr", "S", "S", "S", "S", "S", "S", "S", "S"],
  "frac_coords": [[0.0000, 0.0000, 0.0000], [0.0000, 0.5000, 0.5000], [0.5000, 0.0000, 0.5000], [0.5000, 0.5000, 0.0000], [0.5000, 0.5000, 0.5000], [0.0000, 0.0000, 0.5000], [0.0000, 0.5000, 0.0000], [0.5000, 0.0000, 0.0000], [0.2495, 0.2495, 0.2495], [0.2557, 0.7433, 0.7433], [0.2567, 0.2567, 0.7443], [0.2567, 0.7443, 0.2567], [0.7433, 0.2557, 0.7433], [0.7433, 0.7433, 0.2557], [0.7443, 0.2567, 0.2567], [0.7505, 0.7505, 0.7505]],
  "raw_formation_energy_ev_per_atom": -2.0926,
  "dft_energy_ev_per_atom": -6.574,
  "n_ef_per_ev_cell": 8.46,
  "vol_a3_per_atom": 24.5
}

---

# 2
{
  "formula": "La3TbPr4S8",
  "functional": "GGA-PBE",
  "state": "relaxed",
  "cell": [[4.1077, 2.3716, 6.6922], [-4.1077, 2.3716, 6.6922], [0.0000, -4.7432, 6.6922]],
  "species": ["La", "La", "La", "Tb", "Pr", "Pr", "Pr", "Pr", "S", "S", "S", "S", "S", "S", "S", "S"],
  "frac_coords": [[0.0000, 0.5000, 0.5000], [0.5000, 0.0000, 0.5000], [0.5000, 0.5000, 0.0000], [0.0000, 0.0000, 0.0000], [0.0000, 0.0000, 0.5000], [0.0000, 0.5000, 0.0000], [0.5000, 0.0000, 0.0000], [0.5000, 0.5000, 0.5000], [0.2428, 0.7563, 0.7563], [0.2437, 0.2437, 0.7572], [0.2437, 0.7572, 0.2437], [0.2495, 0.2495, 0.2495], [0.7505, 0.7505, 0.7505], [0.7563, 0.2428, 0.7563], [0.7563, 0.7563, 0.2428], [0.7572, 0.2437, 0.2437]],
  "raw_formation_energy_ev_per_atom": -2.0720,
  "dft_energy_ev_per_atom": -6.544,
  "n_ef_per_ev_cell": 8.27,
  "vol_a3_per_atom": 24.4
}